Record 1
The following is a GGA-PBE calculation of an optimized crystal structure of Pr5Sm12Er2, from the Alexandria database.

Computed properties:
- D(E_F) (states/eV/atom) = 1.5571
- total DFT energy (no corrections) (eV per atom) = -4.5182
- mass density (g cm⁻³) = 7.128
- crystal system = monoclinic
- energy above the most stable polymorph in this dataset (kcal/mol of atoms) = 2.30

a = 10.191 Å, b = 10.191 Å, c = 8.982 Å
α = 110.44°, β = 110.44°, γ = 50.32°
Atoms (fractional coordinates):
Pr 0.000 0.000 0.000
Pr 0.245 0.245 0.760
Pr 0.302 0.302 0.294
Pr 0.698 0.698 0.706
Pr 0.755 0.755 0.240
Sm 0.054 0.054 0.673
Sm 0.055 0.652 0.615
Sm 0.112 0.608 0.034
Sm 0.348 0.945 0.385
Sm 0.392 0.888 0.966
Sm 0.464 0.464 0.811
Sm 0.536 0.536 0.189
Sm 0.608 0.112 0.034
Sm 0.652 0.055 0.615
Sm 0.888 0.392 0.966
Sm 0.945 0.348 0.385
Sm 0.946 0.946 0.327
Er 0.327 0.673 0.500
Er 0.673 0.327 0.500

Record 2
The following is a GGA-PBE calculation of an optimized crystal structure of Pr3Sm8Er3, from the Alexandria database.

Computed properties:
- D(E_F) (states/eV/atom) = 1.4776
- total DFT energy (no corrections) (eV per atom) = -4.5990
- mass density (g cm⁻³) = 7.405
- crystal system = orthorhombic

a = 9.803 Å, b = 9.803 Å, c = 9.803 Å
α = 145.96°, β = 112.44°, γ = 77.85°
Atoms (fractional coordinates):
Pr 0.000 0.000 0.000
Pr 0.181 0.681 0.500
Pr 0.819 0.319 0.500
Sm 0.120 0.280 0.840
Sm 0.237 0.898 0.339
Sm 0.440 0.280 0.160
Sm 0.441 0.102 0.339
Sm 0.559 0.898 0.661
Sm 0.560 0.720 0.840
Sm 0.763 0.102 0.661
Sm 0.880 0.720 0.160
Er 0.202 0.500 0.702
Er 0.500 0.500 0.000
Er 0.798 0.500 0.298

Record 3
The following is a GGA-PBE calculation of an optimized crystal structure of PrSm2Er, from the Alexandria database.

Computed properties:
- D(E_F) (states/eV/atom) = 1.5645
- total DFT energy (no corrections) (eV per atom) = -4.6769
- mass density (g cm⁻³) = 7.552
- crystal system = tetragonal
- energy above the most stable polymorph in this dataset (kcal/mol of atoms) = 0.01

a = 5.107 Å, b = 5.107 Å, c = 5.133 Å
α = 90.00°, β = 90.00°, γ = 90.00°
Atoms (fractional coordinates):
Pr 0.000 0.000 0.000
Sm 0.000 0.500 0.500
Sm 0.500 0.000 0.500
Er 0.500 0.500 0.000

Record 4
The following is a GGA-PBE calculation of an optimized crystal structure of Pr8Sm3Er2, from the Alexandria database.

Computed properties:
- D(E_F) (states/eV/atom) = 1.7338
- total DFT energy (no corrections) (eV per atom) = -4.5776
- mass density (g cm⁻³) = 6.953
- crystal system = monoclinic
- energy above the most stable polymorph in this dataset (kcal/mol of atoms) = 0.00

a = 8.936 Å, b = 8.936 Å, c = 6.251 Å
α = 106.89°, β = 106.89°, γ = 84.10°
Atoms (fractional coordinates):
Pr 0.057 0.057 0.289
Pr 0.074 0.583 0.831
Pr 0.349 0.349 0.448
Pr 0.417 0.926 0.169
Pr 0.583 0.074 0.831
Pr 0.651 0.651 0.552
Pr 0.926 0.417 0.169
Pr 0.943 0.943 0.711
Sm 0.252 0.748 0.500
Sm 0.500 0.500 0.000
Sm 0.748 0.252 0.500
Er 0.211 0.211 0.856
Er 0.789 0.789 0.144

Record 5
The following is a GGA-PBE calculation of an optimized crystal structure of Pr2Sm2Er7, from the Alexandria database.

Computed properties:
- D(E_F) (states/eV/atom) = 1.6130
- total DFT energy (no corrections) (eV per atom) = -4.4805
- mass density (g cm⁻³) = 8.022
- crystal system = monoclinic

a = 8.082 Å, b = 8.082 Å, c = 6.083 Å
α = 106.43°, β = 106.43°, γ = 91.68°
Atoms (fractional coordinates):
Pr 0.099 0.099 0.311
Pr 0.901 0.901 0.689
Sm 0.290 0.710 0.000
Sm 0.710 0.290 0.000
Er 0.089 0.565 0.323
Er 0.269 0.269 0.924
Er 0.435 0.911 0.677
Er 0.500 0.500 0.500
Er 0.565 0.089 0.323
Er 0.731 0.731 0.076
Er 0.911 0.435 0.677

Record 6
The following is a GGA-PBE calculation of an optimized crystal structure of PrSm3Er, from the Alexandria database.

Computed properties:
- D(E_F) (states/eV/atom) = 1.4711
- total DFT energy (no corrections) (eV per atom) = -4.6393
- mass density (g cm⁻³) = 7.483
- crystal system = monoclinic
- energy above the most stable polymorph in this dataset (kcal/mol of atoms) = 0.00

a = 9.741 Å, b = 6.188 Å, c = 11.777 Å
α = 90.00°, β = 108.32°, γ = 90.00°
Atoms (fractional coordinates):
Pr 0.196 0.138 0.173
Pr 0.196 0.362 0.673
Pr 0.804 0.638 0.327
Pr 0.804 0.862 0.827
Sm 0.007 0.172 0.380
Sm 0.007 0.328 0.880
Sm 0.397 0.621 0.223
Sm 0.397 0.879 0.723
Sm 0.404 0.238 0.477
Sm 0.404 0.262 0.977
Sm 0.596 0.738 0.023
Sm 0.596 0.762 0.523
Sm 0.603 0.121 0.277
Sm 0.603 0.379 0.777
Sm 0.993 0.672 0.120
Sm 0.993 0.828 0.620
Er 0.206 0.710 0.429
Er 0.206 0.790 0.929
Er 0.794 0.210 0.071
Er 0.794 0.290 0.571

Record 7
The following is a GGA-PBE calculation of an optimized crystal structure of Pr2SmEr, from the Alexandria database.

Computed properties:
- D(E_F) (states/eV/atom) = 1.9163
- total DFT energy (no corrections) (eV per atom) = -4.6111
- mass density (g cm⁻³) = 7.268
- crystal system = tetragonal
- energy above the most stable polymorph in this dataset (kcal/mol of atoms) = 1.96

a = 4.239 Å, b = 4.239 Å, c = 7.621 Å
α = 90.00°, β = 90.00°, γ = 90.00°
Atoms (fractional coordinates):
Pr 0.000 0.000 0.241
Pr 0.000 0.000 0.759
Sm 0.500 0.500 0.500
Er 0.500 0.500 0.000

Record 8
The following is a GGA-PBE calculation of an optimized crystal structure of Pr4Sm6Er, from the Alexandria database.

Computed properties:
- D(E_F) (states/eV/atom) = 1.6557
- total DFT energy (no corrections) (eV per atom) = -4.2076
- mass density (g cm⁻³) = 6.492
- crystal system = tetragonal
- energy above the most stable polymorph in this dataset (kcal/mol of atoms) = 2.91

a = 8.421 Å, b = 8.421 Å, c = 8.421 Å
α = 100.57°, β = 100.57°, γ = 129.28°
Atoms (fractional coordinates):
Pr 0.152 0.152 0.623
Pr 0.471 0.848 0.000
Pr 0.529 0.529 0.377
Pr 0.848 0.471 0.000
Sm 0.000 0.500 0.500
Sm 0.036 0.266 0.000
Sm 0.266 0.036 0.000
Sm 0.500 0.000 0.500
Sm 0.734 0.734 0.770
Sm 0.964 0.964 0.230
Er 0.500 0.500 0.000